(1)
AlSiNi6: PBEsol geometry, SCAN.

The structure in CIF format:
```
data_AlSiNi6
_chemical_formula_sum 'Al1 Si1 Ni6'
_cell_length_a 3.491
_cell_length_b 3.491
_cell_length_c 6.957
_cell_angle_alpha 90.00
_cell_angle_beta 90.00
_cell_angle_gamma 90.00
_space_group_name_H-M_alt 'P 4/m m m'
_space_group_IT_number 123
_space_group_name_Hall '-P 4 2'
loop_
_atom_site_label
_atom_site_fract_x
_atom_site_fract_y
_atom_site_fract_z
Al1 0.000 0.000 0.000
Si1 0.000 0.000 0.500
Ni1 0.000 0.500 0.257
Ni2 0.500 0.500 0.000
Ni3 0.500 0.500 0.500
```

***

(2)
Al2SiNi3: PBEsol geometry, SCAN.

The structure in CIF format:
```
data_Al2SiNi3
_chemical_formula_sum 'Al4 Si2 Ni6'
_cell_length_a 3.274
_cell_length_b 11.549
_cell_length_c 3.634
_cell_angle_alpha 90.00
_cell_angle_beta 90.00
_cell_angle_gamma 90.00
_space_group_name_H-M_alt 'C m m m'
_space_group_IT_number 65
_space_group_name_Hall '-C 2 2'
loop_
_atom_site_label
_atom_site_fract_x
_atom_site_fract_y
_atom_site_fract_z
Al1 0.000 0.162 0.000
Si1 0.000 0.000 0.500
Ni1 0.000 0.339 0.500
Ni2 0.000 0.500 0.000
```

***

(3)
AlSiNi2: PBEsol geometry, SCAN.

The structure in CIF format:
```
data_AlSiNi2
_chemical_formula_sum 'Al4 Si4 Ni8'
_cell_length_a 5.709
_cell_length_b 5.709
_cell_length_c 5.709
_cell_angle_alpha 90.00
_cell_angle_beta 90.00
_cell_angle_gamma 90.00
_space_group_name_H-M_alt 'F -4 3 m'
_space_group_IT_number 216
_space_group_name_Hall 'F -4 2 3'
loop_
_atom_site_label
_atom_site_fract_x
_atom_site_fract_y
_atom_site_fract_z
Al1 0.000 0.000 0.000
Si1 0.250 0.250 0.250
Ni1 0.000 0.000 0.500
Ni2 0.250 0.250 0.750
```

***

(4)
AlSiNi4: PBEsol geometry, SCAN.

The structure in CIF format:
```
data_AlSiNi4
_chemical_formula_sum 'Al4 Si4 Ni16'
_cell_length_a 3.532
_cell_length_b 15.723
_cell_length_c 4.944
_cell_angle_alpha 90.00
_cell_angle_beta 90.00
_cell_angle_gamma 90.00
_space_group_name_H-M_alt 'C m c m'
_space_group_IT_number 63
_space_group_name_Hall '-C 2c 2'
loop_
_atom_site_label
_atom_site_fract_x
_atom_site_fract_y
_atom_site_fract_z
Al1 0.000 0.081 0.250
Si1 0.000 0.222 0.750
Ni1 0.000 0.077 0.750
Ni2 0.000 0.341 0.005
Ni3 0.000 0.500 0.000
```

***

(5)
AlSiNi2: PBEsol geometry, SCAN.

The structure in CIF format:
```
data_AlSiNi2
_chemical_formula_sum 'Al3 Si3 Ni6'
_cell_length_a 2.6908
_cell_length_b 2.6908
_cell_length_c 23.0249
_cell_angle_alpha 90.00
_cell_angle_beta 90.00
_cell_angle_gamma 120.00
_space_group_name_H-M_alt 'R 3 m'
_space_group_IT_number 160
_space_group_name_Hall 'R 3 -2"'
loop_
_atom_site_label
_atom_site_fract_x
_atom_site_fract_y
_atom_site_fract_z
Al1 0.0000 0.0000 0.0000
Si1 0.0000 0.0000 0.7623
Ni1 0.0000 0.0000 0.2543
Ni2 0.0000 0.0000 0.5021
```

***

(6)
AlSiNi2: PBEsol geometry, SCAN.

The structure in CIF format:
```
data_AlSiNi2
_chemical_formula_sum 'Al2 Si2 Ni4'
_cell_length_a 4.477
_cell_length_b 4.530
_cell_length_c 4.513
_cell_angle_alpha 90.00
_cell_angle_beta 91.85
_cell_angle_gamma 90.00
_space_group_name_H-M_alt 'P 1 21 1'
_space_group_IT_number 4
loop_
_space_group_symop_operation_xyz
'x,y,z'
'-x,y+1/2,-z'
loop_
_atom_site_label
_atom_site_fract_x
_atom_site_fract_y
_atom_site_fract_z
Al1 0.094 0.000 0.153
Si1 0.399 0.195 0.660
Ni1 0.113 0.498 0.359
Ni2 0.405 0.707 0.842
```

***

(7)
AlSi4Ni: PBEsol geometry, SCAN.

The structure in CIF format:
```
data_AlSi4Ni
_chemical_formula_sum 'Al2 Si8 Ni2'
_cell_length_a 5.901
_cell_length_b 4.362
_cell_length_c 7.032
_cell_angle_alpha 90.00
_cell_angle_beta 90.00
_cell_angle_gamma 90.00
_space_group_name_H-M_alt 'A m m 2'
_space_group_IT_number 38
loop_
_space_group_symop_operation_xyz
'x,y,z'
'-x,-y,z'
'-x,y,z'
'x,-y,z'
'x,y+1/2,z+1/2'
'-x,-y+1/2,z+1/2'
'-x,y+1/2,z+1/2'
'x,-y+1/2,z+1/2'
loop_
_atom_site_label
_atom_site_fract_x
_atom_site_fract_y
_atom_site_fract_z
Al1 0.000 0.000 0.000
Si1 0.200 0.000 0.630
Si2 0.299 0.000 0.301
Ni1 0.500 0.000 0.819
```

***

(8)
AlSiNi2: PBEsol geometry, SCAN.

The structure in CIF format:
```
data_AlSiNi2
_chemical_formula_sum 'Al2 Si2 Ni4'
_cell_length_a 3.460
_cell_length_b 3.460
_cell_length_c 7.554
_cell_angle_alpha 90.00
_cell_angle_beta 90.00
_cell_angle_gamma 90.00
_space_group_name_H-M_alt 'I -4 m 2'
_space_group_IT_number 119
_space_group_name_Hall 'I -4 -2'
loop_
_atom_site_label
_atom_site_fract_x
_atom_site_fract_y
_atom_site_fract_z
Al1 0.000 0.000 0.000
Si1 0.000 0.500 0.750
Ni1 0.000 0.000 0.500
Ni2 0.000 0.500 0.250
```

***

(9)
Al2Si2Ni: PBEsol geometry, SCAN.

The structure in CIF format:
```
data_Al2Si2Ni
_chemical_formula_sum 'Al4 Si4 Ni2'
_cell_length_a 5.212
_cell_length_b 7.820
_cell_length_c 3.569
_cell_angle_alpha 90.00
_cell_angle_beta 90.00
_cell_angle_gamma 90.00
_space_group_name_H-M_alt 'P b a m'
_space_group_IT_number 55
loop_
_space_group_symop_operation_xyz
'x,y,z'
'-x,-y,-z'
'-x,-y,z'
'x,y,-z'
'x+1/2,-y+1/2,-z'
'-x+1/2,y+1/2,z'
'-x+1/2,y+1/2,-z'
'x+1/2,-y+1/2,z'
loop_
_atom_site_label
_atom_site_fract_x
_atom_site_fract_y
_atom_site_fract_z
Al1 0.156 0.205 0.000
Si1 0.220 0.944 0.500
Ni1 0.000 0.500 0.000
```

***

(10)
AlSiNi: PBEsol geometry, SCAN.

The structure in CIF format:
```
data_AlSiNi
_chemical_formula_sum 'Al2 Si2 Ni2'
_cell_length_a 4.608
_cell_length_b 3.791
_cell_length_c 4.872
_cell_angle_alpha 90.00
_cell_angle_beta 107.85
_cell_angle_gamma 90.00
_space_group_name_H-M_alt 'P 1 21/m 1'
_space_group_IT_number 11
loop_
_space_group_symop_operation_xyz
'x,y,z'
'-x,-y,-z'
'-x,y+1/2,-z'
'x,-y+1/2,z'
loop_
_atom_site_label
_atom_site_fract_x
_atom_site_fract_y
_atom_site_fract_z
Al1 0.173 0.250 0.408
Si1 0.388 0.750 0.128
Ni1 0.122 0.250 0.893
```

***

(11)
Al6SiNi: PBEsol geometry, SCAN.

The structure in CIF format:
```
data_Al6SiNi
_chemical_formula_sum 'Al6 Si1 Ni1'
_cell_length_a 3.754
_cell_length_b 3.754
_cell_length_c 9.866
_cell_angle_alpha 90.00
_cell_angle_beta 90.00
_cell_angle_gamma 90.00
_space_group_name_H-M_alt 'P 4/m m m'
_space_group_IT_number 123
_space_group_name_Hall '-P 4 2'
loop_
_atom_site_label
_atom_site_fract_x
_atom_site_fract_y
_atom_site_fract_z
Al1 0.000 0.000 0.124
Al2 0.000 0.500 0.318
Si1 0.500 0.500 0.500
Ni1 0.500 0.500 0.000
```

***

(12)
AlSiNi: PBEsol geometry, SCAN.

The structure in CIF format:
```
data_AlSiNi
_chemical_formula_sum 'Al4 Si4 Ni4'
_cell_length_a 5.473
_cell_length_b 5.473
_cell_length_c 5.473
_cell_angle_alpha 90.00
_cell_angle_beta 90.00
_cell_angle_gamma 90.00
_space_group_name_H-M_alt 'F -4 3 m'
_space_group_IT_number 216
_space_group_name_Hall 'F -4 2 3'
loop_
_atom_site_label
_atom_site_fract_x
_atom_site_fract_y
_atom_site_fract_z
Al1 0.000 0.000 0.000
Si1 0.000 0.000 0.500
Ni1 0.250 0.250 0.750
```

***

So what do the calculations give for uncorrected formation energy? Going down the list: -482 -586 -201 -476 -122 -636 215 -528 -137 -454 375 -553 meV per atom.